1.
Here is an optimized crystal structure of Hg5Mo from Alexandria via LeMat-Bulk. Energies are from PBE.

Properties
Space-group type: Amm2
Total moment, μB/f.u.: 0.00
Offset from the most stable computed form, eV per atom: 0.0843
Crystal system: orthorhombic

a b c (Å): 8.2619 8.2619 5.1780
angles (deg): 90.00 90.00 158.60
Last column: nearest neighbours and their distance in Å.
Sites, in units of the cell vectors:
Hg: 0.9941 0.0059 0.0000  10 Hg 2.95-3.14, 2 Mo 3.09
Hg: 0.6630 0.3370 0.0000  12 Hg 3.07-3.24
Hg: 0.3391 0.6609 0.0000  8 Hg 2.95-3.24, 4 Mo 3.12
Hg: 0.5482 0.4518 0.5000  2 Mo 2.99, 8 Hg 3.07-3.19
Hg: 0.2324 0.7676 0.5000  2 Mo 2.98, 8 Hg 3.07-3.21
Mo: 0.8899 0.1101 0.5000  10 Hg 2.98-3.12, 2 Mo 3.07

=====

2.
Here is an optimized crystal structure of CaNb2AlPt from Alexandria via LeMat-Bulk. Energies are from PBE.

Properties
Space-group type: P4/mmm
Total moment, μB/f.u.: 0.21
Offset from the most stable computed form, eV per atom: 0.1931
Crystal system: tetragonal

a b c (Å): 4.9488 5.2710 4.9488
angles (deg): 90.00 90.00 90.00
Last column: nearest neighbours and their distance in Å.
Sites, in units of the cell vectors:
Nb: 0.0000 0.0000 0.5000  2 Pt 2.47
Nb: 0.5000 0.0000 0.0000  2 Pt 2.47
Ca: 0.0000 0.5000 0.0000  2 Pt 2.64
Pt: 0.0000 0.0000 0.0000  4 Nb 2.47, 2 Ca 2.64
Al: 0.5000 0.5000 0.5000  4 Ca 3.50, 8 Nb 3.62

=====

3.
Here is an optimized crystal structure of BaRh2Cl from Alexandria via LeMat-Bulk. Energies are from PBE.

Properties
Space-group type: P4/mmm
Total moment, μB/f.u.: 2.20
Offset from the most stable computed form, eV per atom: 0.2594
Formation energy without anion corrections, eV per atom: -0.055
Crystal system: tetragonal

a b c (Å): 4.0145 4.0147 6.1273
angles (deg): 90.00 90.00 90.00
Last column: nearest neighbours and their distance in Å.
Sites, in units of the cell vectors:
Ba: 0.5000 0.0000 0.5000  4 Cl 2.84
Cl: 0.0000 0.5000 0.5000  4 Ba 2.84
Rh: 0.0000 0.0000 0.0000  4 Rh 2.84
Rh: 0.5000 0.5000 0.0000  4 Rh 2.84

=====

4.
Here is an optimized crystal structure of LiSbSN2 from Alexandria via LeMat-Bulk. Energies are from PBE.

Properties
Space-group type: P4/mmm
Total moment, μB/f.u.: 2.12
Offset from the most stable computed form, eV per atom: 0.0000
Formation energy without anion corrections, eV per atom: 0.838
Crystal system: tetragonal

a b c (Å): 4.0780 4.0780 5.2157
angles (deg): 90.00 90.00 90.00
Last column: nearest neighbours and their distance in Å.
Sites, in units of the cell vectors:
Sb: 0.0000 0.0000 0.0000  4 N 2.04
S: 0.0000 0.0000 0.5000  2 Sb 2.61, 4 Li 2.88
Li: 0.5000 0.5000 0.5000  4 S 2.88
N: 0.0000 0.5000 0.0000  2 Sb 2.04
N: 0.5000 0.0000 0.0000  2 Sb 2.04

=====

5.
Here is an optimized crystal structure of CaCd4 from Alexandria via LeMat-Bulk. Energies are from PBE.

Properties
Space-group type: Pm-3m
Total moment, μB/f.u.: 0.00
Offset from the most stable computed form, eV per atom: 0.7186
Crystal system: cubic

a b c (Å): 6.1220 6.1220 6.1220
angles (deg): 90.00 90.00 90.00
Last column: nearest neighbours and their distance in Å.
Sites, in units of the cell vectors:
Ca: 0.5000 0.5000 0.5000  6 Cd 3.06
Cd: 0.0000 0.0000 0.0000  12 Cd 4.33
Cd: 0.5000 0.0000 0.5000  2 Ca 3.06
Cd: 0.0000 0.5000 0.5000  2 Ca 3.06
Cd: 0.5000 0.5000 0.0000  2 Ca 3.06

=====

6.
Here is an optimized crystal structure of K2Ta3NbO12 from Alexandria via LeMat-Bulk. Energies are from PBE.

Properties
Space-group type: R-3m
Total moment, μB/f.u.: 2.15
Formation energy without anion corrections, eV per atom: -2.428
Crystal system: trigonal

a b c (Å): 7.5005 7.5005 7.5005
angles (deg): 59.87 59.87 59.87
Last column: nearest neighbours and their distance in Å.
Sites, in units of the cell vectors:
K: 0.6241 0.6241 0.6241  6 O 3.29-3.30
K: 0.3759 0.3759 0.3759  6 O 3.29-3.30
Ta: 0.5000 0.0000 0.0000  6 O 1.99
Ta: 0.0000 0.5000 0.0000  6 O 1.99
Ta: 0.0000 0.0000 0.5000  6 O 1.99
Nb: 0.0000 0.0000 0.0000  6 O 2.00
O: 0.3132 0.3132 0.9357  2 Ta 1.99
O: 0.9358 0.9358 0.3155  1 Ta 1.99, 1 Nb 2.00
O: 0.3155 0.9358 0.9358  1 Ta 1.99, 1 Nb 2.00
O: 0.9357 0.3132 0.3132  2 Ta 1.99
O: 0.9358 0.3155 0.9358  1 Ta 1.99, 1 Nb 2.00
O: 0.3132 0.9357 0.3132  2 Ta 1.99
O: 0.6868 0.6868 0.0643  2 Ta 1.99
O: 0.0642 0.0642 0.6845  1 Ta 1.99, 1 Nb 2.00
O: 0.6845 0.0642 0.0642  1 Ta 1.99, 1 Nb 2.00
O: 0.0643 0.6868 0.6868  2 Ta 1.99
O: 0.0642 0.6845 0.0642  1 Ta 1.99, 1 Nb 2.00
O: 0.6868 0.0643 0.6868  2 Ta 1.99

=====

7.
Here is an optimized crystal structure of Tb7Tc2Te2 from Alexandria via LeMat-Bulk. Energies are from PBE.

Properties
Space-group type: Imm2
Total moment, μB/f.u.: 0.42
Formation energy without anion corrections, eV per atom: -0.537
Crystal system: orthorhombic

a b c (Å): 4.0110 9.4595 9.4595
angles (deg): 59.39 77.76 77.76
Last column: nearest neighbours and their distance in Å.
Sites, in units of the cell vectors:
Tb: 0.8170 0.0812 0.2849  3 Tc 2.83-3.16
Tb: 0.8479 0.4185 0.8858  2 Tc 2.95, 2 Te 3.25
Tb: 0.5000 0.0229 0.9771  3 Te 3.11-3.18
Tb: 0.6325 0.4721 0.2629  2 Tc 2.87, 1 Te 3.15
Tb: 0.3675 0.7371 0.5279  2 Tc 2.87, 1 Te 3.15
Tb: 0.1830 0.7151 0.9188  3 Tc 2.83-3.16
Tb: 0.1521 0.1142 0.5815  2 Tc 2.95, 2 Te 3.25
Tc: 0.7387 0.8501 0.6724  7 Tb 2.83-3.16
Tc: 0.2613 0.3276 0.1499  7 Tb 2.83-3.16
Te: 0.0000 0.7601 0.2399  8 Tb 3.18-3.26
Te: 0.5000 0.3549 0.6451  7 Tb 3.11-3.25

=====

8.
Here is an optimized crystal structure of Rb2TlCd4 from Alexandria via LeMat-Bulk. Energies are from PBE.

Properties
Space-group type: I4/mmm
Total moment, μB/f.u.: 0.00
Energy, eV for the cell shown: -7.11
Crystal system: tetragonal

a b c (Å): 5.7506 5.7506 10.4174
angles (deg): 73.98 73.98 90.00
Last column: nearest neighbours and their distance in Å.
Sites, in units of the cell vectors:
Tl: 0.0000 0.0000 0.0000  6 Cd 2.88-3.19
Rb: 0.6411 0.6411 0.7179  9 Cd 3.70-4.09
Rb: 0.3589 0.3589 0.2821  9 Cd 3.70-4.09
Cd: 0.8339 0.8339 0.3321  1 Tl 3.19
Cd: 0.1661 0.1661 0.6679  1 Tl 3.19
Cd: 0.0000 0.5000 0.0000  2 Tl 2.88
Cd: 0.5000 0.0000 0.0000  2 Tl 2.88

=====

What did the sixth record say?
Here is an optimized crystal structure of K2Ta3NbO12 from Alexandria via LeMat-Bulk. Energies are from PBE.

Properties
Space-group type: R-3m
Total moment, μB/f.u.: 2.15
Formation energy without anion corrections, eV per atom: -2.428
Crystal system: trigonal

a b c (Å): 7.5005 7.5005 7.5005
angles (deg): 59.87 59.87 59.87
Last column: nearest neighbours and their distance in Å.
Sites, in units of the cell vectors:
K: 0.6241 0.6241 0.6241  6 O 3.29-3.30
K: 0.3759 0.3759 0.3759  6 O 3.29-3.30
Ta: 0.5000 0.0000 0.0000  6 O 1.99
Ta: 0.0000 0.5000 0.0000  6 O 1.99
Ta: 0.0000 0.0000 0.5000  6 O 1.99
Nb: 0.0000 0.0000 0.0000  6 O 2.00
O: 0.3132 0.3132 0.9357  2 Ta 1.99
O: 0.9358 0.9358 0.3155  1 Ta 1.99, 1 Nb 2.00
O: 0.3155 0.9358 0.9358  1 Ta 1.99, 1 Nb 2.00
O: 0.9357 0.3132 0.3132  2 Ta 1.99
O: 0.9358 0.3155 0.9358  1 Ta 1.99, 1 Nb 2.00
O: 0.3132 0.9357 0.3132  2 Ta 1.99
O: 0.6868 0.6868 0.0643  2 Ta 1.99
O: 0.0642 0.0642 0.6845  1 Ta 1.99, 1 Nb 2.00
O: 0.6845 0.0642 0.0642  1 Ta 1.99, 1 Nb 2.00
O: 0.0643 0.6868 0.6868  2 Ta 1.99
O: 0.0642 0.6845 0.0642  1 Ta 1.99, 1 Nb 2.00
O: 0.6868 0.0643 0.6868  2 Ta 1.99